[1]
## BaNaSnRh2 (GGA-PBEsol)

Data for crystalline BaNaSnRh2 at its relaxed geometry.

Unit cell a=5.0377 b=5.0377 c=5.3275 alpha=90.00 beta=90.00 gamma=90.00
Closest atoms and distances in Å follow each position.
Element x y z (fractional)
1 Na 0.0000 0.0000 0.5000  2 Ba 2.66
2 Rh 0.0000 0.5000 0.0000  2 Ba 2.52
3 Rh 0.5000 0.0000 0.0000  2 Ba 2.52
4 Ba 0.0000 0.0000 0.0000  4 Rh 2.52, 2 Na 2.66
5 Sn 0.5000 0.5000 0.5000  4 Na 3.56, 8 Rh 3.67

Computed properties:
uncorrected energy = -3.6061 eV/atom
formation energy from the elements = 1.211 eV per atom

***

[2]
## HgAuCl2 (GGA-PBEsol)

Data for crystalline HgAuCl2 at its relaxed geometry.

Unit cell a=3.6536 b=5.4617 c=5.4813 alpha=70.32 beta=70.53 gamma=70.46
Closest atoms and distances in Å follow each position.
Element x y z (fractional)
1 Au 0.5000 0.0000 0.0000  4 Cl 2.46
2 Hg 0.0000 0.5000 0.5000  4 Cl 3.04
3 Cl 0.2024 0.7975 0.7976  2 Au 2.46
4 Cl 0.7976 0.2025 0.2024  2 Au 2.46

Computed properties:
uncorrected energy = -2.1824 eV/atom

***

[3]
## Tl (GGA-PBEsol)

Data for crystalline Tl at its relaxed geometry.

Unit cell a=3.4895 b=3.4895 c=5.3659 alpha=90.00 beta=90.00 gamma=120.00
Closest atoms and distances in Å follow each position.
Element x y z (fractional)
1 Tl 0.3333 0.6667 0.7500  12 Tl 3.36-3.49
2 Tl 0.6667 0.3333 0.2500  12 Tl 3.36-3.49

Computed properties:
uncorrected energy = -2.6302 eV/atom
formation energy from the elements = 0.000 eV per atom

***

Computed calculated volume, in the same sequence as the records: 27.04, 23.50, 28.29 Å³ per atom.